1.
ScAgP2 after structural relaxation, computed with GGA-PBE.

CIF file:
```
data_ScAgP2
_chemical_formula_sum 'Sc1 Ag1 P2'
_cell_length_a 3.522
_cell_length_b 3.522
_cell_length_c 5.938
_cell_angle_alpha 90.00
_cell_angle_beta 90.00
_cell_angle_gamma 90.00
_space_group_name_H-M_alt 'P 4/m m m'
_space_group_IT_number 123
_space_group_name_Hall '-P 4 2'
loop_
_atom_site_label
_atom_site_fract_x
_atom_site_fract_y
_atom_site_fract_z
Sc1 0.000 0.000 0.000
Ag1 0.000 0.000 0.500
P1 0.500 0.500 0.191
```

Properties
Volume in A^3/atom: 18.42
Formation energy in kJ/mol of formula units: -134
Total DFT energy (no corrections) in eV per cell: -21.39

2.
ScAg2P after structural relaxation, computed with GGA-PBE.

CIF file:
```
data_ScAg2P
_chemical_formula_sum 'Sc2 Ag4 P2'
_cell_length_a 3.850
_cell_length_b 3.850
_cell_length_c 9.829
_cell_angle_alpha 90.00
_cell_angle_beta 90.00
_cell_angle_gamma 90.00
_space_group_name_H-M_alt 'I 4/m m m'
_space_group_IT_number 139
_space_group_name_Hall '-I 4 2'
loop_
_atom_site_label
_atom_site_fract_x
_atom_site_fract_y
_atom_site_fract_z
Sc1 0.000 0.000 0.000
Ag1 0.000 0.500 0.250
P1 0.000 0.000 0.500
```

Properties
Volume in A^3/atom: 18.21
Formation energy in kJ/mol of formula units: -132
Total DFT energy (no corrections) in eV per cell: -37.62

3.
ScAg2P after structural relaxation, computed with GGA-PBE.

CIF file:
```
data_ScAg2P
_chemical_formula_sum 'Sc4 Ag8 P4'
_cell_length_a 3.806
_cell_length_b 3.806
_cell_length_c 21.139
_cell_angle_alpha 90.00
_cell_angle_beta 90.00
_cell_angle_gamma 90.00
_space_group_name_H-M_alt 'I -4 2 d'
_space_group_IT_number 122
_space_group_name_Hall 'I -4 2bw'
loop_
_atom_site_label
_atom_site_fract_x
_atom_site_fract_y
_atom_site_fract_z
Sc1 0.000 0.000 0.000
Ag1 0.246 0.250 0.625
P1 0.000 0.000 0.500
```

Properties
Volume in A^3/atom: 19.14
Formation energy in kJ/mol of formula units: -128
Total DFT energy (no corrections) in eV per cell: -75.06

4.
ScAgP2 after structural relaxation, computed with GGA-PBE.

CIF file:
```
data_ScAgP2
_chemical_formula_sum 'Sc2 Ag2 P4'
_cell_length_a 3.757
_cell_length_b 3.757
_cell_length_c 9.618
_cell_angle_alpha 90.00
_cell_angle_beta 90.00
_cell_angle_gamma 90.00
_space_group_name_H-M_alt 'I -4 m 2'
_space_group_IT_number 119
_space_group_name_Hall 'I -4 -2'
loop_
_atom_site_label
_atom_site_fract_x
_atom_site_fract_y
_atom_site_fract_z
Sc1 0.000 0.000 0.000
Ag1 0.000 0.500 0.750
P1 0.000 0.000 0.500
P2 0.000 0.500 0.250
```

Properties
Volume in A^3/atom: 16.97
Formation energy in kJ/mol of formula units: -140
Total DFT energy (no corrections) in eV per cell: -42.90

5.
ScAg2P after structural relaxation, computed with GGA-PBE.

CIF file:
```
data_ScAg2P
_chemical_formula_sum 'Sc2 Ag4 P2'
_cell_length_a 5.388
_cell_length_b 9.109
_cell_length_c 3.049
_cell_angle_alpha 90.00
_cell_angle_beta 90.00
_cell_angle_gamma 90.00
_space_group_name_H-M_alt 'C m m m'
_space_group_IT_number 65
_space_group_name_Hall '-C 2 2'
loop_
_atom_site_label
_atom_site_fract_x
_atom_site_fract_y
_atom_site_fract_z
Sc1 0.000 0.000 0.000
Ag1 0.250 0.250 0.500
P1 0.000 0.500 0.000
```

Properties
Volume in A^3/atom: 18.70
Formation energy in kJ/mol of formula units: 3
Total DFT energy (no corrections) in eV per cell: -34.82

6.
ScAg3P after structural relaxation, computed with GGA-PBE.

CIF file:
```
data_ScAg3P
_chemical_formula_sum 'Sc1 Ag3 P1'
_cell_length_a 5.070
_cell_length_b 5.070
_cell_length_c 5.070
_cell_angle_alpha 90.00
_cell_angle_beta 90.00
_cell_angle_gamma 90.00
_space_group_name_H-M_alt 'P m -3 m'
_space_group_IT_number 221
_space_group_name_Hall '-P 4 2 3'
loop_
_atom_site_label
_atom_site_fract_x
_atom_site_fract_y
_atom_site_fract_z
Sc1 0.000 0.000 0.000
Ag1 0.000 0.000 0.500
P1 0.500 0.500 0.500
```

Properties
Volume in A^3/atom: 26.06
Formation energy in kJ/mol of formula units: 625
Total DFT energy (no corrections) in eV per cell: -13.82

7.
ScAgP2 after structural relaxation, computed with GGA-PBE.

CIF file:
```
data_ScAgP2
_chemical_formula_sum 'Sc4 Ag4 P8'
_cell_length_a 4.601
_cell_length_b 4.601
_cell_length_c 15.637
_cell_angle_alpha 90.00
_cell_angle_beta 90.00
_cell_angle_gamma 90.00
_space_group_name_H-M_alt 'I -4 2 d'
_space_group_IT_number 122
_space_group_name_Hall 'I -4 2bw'
loop_
_atom_site_label
_atom_site_fract_x
_atom_site_fract_y
_atom_site_fract_z
Sc1 0.000 0.000 0.000
Ag1 0.000 0.000 0.500
P1 0.239 0.250 0.625
```

Properties
Volume in A^3/atom: 20.69
Formation energy in kJ/mol of formula units: -61
Total DFT energy (no corrections) in eV per cell: -82.56

8.
ScAg2P2 after structural relaxation, computed with GGA-PBE.

CIF file:
```
data_ScAg2P2
_chemical_formula_sum 'Sc2 Ag4 P4'
_cell_length_a 3.833
_cell_length_b 3.833
_cell_length_c 12.166
_cell_angle_alpha 90.00
_cell_angle_beta 90.00
_cell_angle_gamma 90.00
_space_group_name_H-M_alt 'I 4/m m m'
_space_group_IT_number 139
_space_group_name_Hall '-I 4 2'
loop_
_atom_site_label
_atom_site_fract_x
_atom_site_fract_y
_atom_site_fract_z
Sc1 0.000 0.000 0.000
Ag1 0.000 0.500 0.250
P1 0.000 0.000 0.406
```

Properties
Volume in A^3/atom: 17.88
Formation energy in kJ/mol of formula units: -114
Total DFT energy (no corrections) in eV per cell: -48.08

9.
ScAgP2 after structural relaxation, computed with GGA-PBE.

CIF file:
```
data_ScAgP2
_chemical_formula_sum 'Sc1 Ag1 P2'
_cell_length_a 3.450
_cell_length_b 3.798
_cell_length_c 5.618
_cell_angle_alpha 90.00
_cell_angle_beta 90.86
_cell_angle_gamma 90.00
_space_group_name_H-M_alt 'P 1 2/m 1'
_space_group_IT_number 10
loop_
_space_group_symop_operation_xyz
'x,y,z'
'-x,-y,-z'
'-x,y,-z'
'x,-y,z'
loop_
_atom_site_label
_atom_site_fract_x
_atom_site_fract_y
_atom_site_fract_z
Sc1 0.000 0.000 0.000
Ag1 0.500 0.000 0.500
P1 0.480 0.500 0.806
```

Properties
Volume in A^3/atom: 18.40
Formation energy in kJ/mol of formula units: -182
Total DFT energy (no corrections) in eV per cell: -21.89

10.
ScAgP2 after structural relaxation, computed with GGA-PBE.

CIF file:
```
data_ScAgP2
_chemical_formula_sum 'Sc4 Ag4 P8'
_cell_length_a 5.262
_cell_length_b 5.261
_cell_length_c 10.263
_cell_angle_alpha 90.00
_cell_angle_beta 104.83
_cell_angle_gamma 90.00
_space_group_name_H-M_alt 'C 1 2/m 1'
_space_group_IT_number 12
loop_
_space_group_symop_operation_xyz
'x,y,z'
'-x,-y,-z'
'-x,y,-z'
'x,-y,z'
'x+1/2,y+1/2,z'
'-x+1/2,-y+1/2,-z'
'-x+1/2,y+1/2,-z'
'x+1/2,-y+1/2,z'
loop_
_atom_site_label
_atom_site_fract_x
_atom_site_fract_y
_atom_site_fract_z
Sc1 0.108 0.000 0.214
Ag1 0.000 0.250 0.500
P1 0.151 0.500 0.302
P2 0.250 0.250 0.000
```

Properties
Volume in A^3/atom: 17.17
Formation energy in kJ/mol of formula units: -210
Total DFT energy (no corrections) in eV per cell: -88.73

11.
ScAg2P after structural relaxation, computed with GGA-PBE.

CIF file:
```
data_ScAg2P
_chemical_formula_sum 'Sc2 Ag4 P2'
_cell_length_a 12.247
_cell_length_b 3.635
_cell_length_c 3.629
_cell_angle_alpha 90.00
_cell_angle_beta 97.88
_cell_angle_gamma 90.00
_space_group_name_H-M_alt 'C 1 2/m 1'
_space_group_IT_number 12
loop_
_space_group_symop_operation_xyz
'x,y,z'
'-x,-y,-z'
'-x,y,-z'
'x,-y,z'
'x+1/2,y+1/2,z'
'-x+1/2,-y+1/2,-z'
'-x+1/2,y+1/2,-z'
'x+1/2,-y+1/2,z'
loop_
_atom_site_label
_atom_site_fract_x
_atom_site_fract_y
_atom_site_fract_z
Sc1 0.000 0.000 0.000
Ag1 0.202 0.500 0.732
P1 0.000 0.500 0.500
```

Properties
Volume in A^3/atom: 20.00
Formation energy in kJ/mol of formula units: -168
Total DFT energy (no corrections) in eV per cell: -38.36

12.
ScAg2P after structural relaxation, computed with GGA-PBE.

CIF file:
```
data_ScAg2P
_chemical_formula_sum 'Sc2 Ag4 P2'
_cell_length_a 4.096
_cell_length_b 4.922
_cell_length_c 7.206
_cell_angle_alpha 90.00
_cell_angle_beta 90.00
_cell_angle_gamma 90.00
_space_group_name_H-M_alt 'I m m 2'
_space_group_IT_number 44
loop_
_space_group_symop_operation_xyz
'x,y,z'
'-x,-y,z'
'-x,y,z'
'x,-y,z'
'x+1/2,y+1/2,z+1/2'
'-x+1/2,-y+1/2,z+1/2'
'-x+1/2,y+1/2,z+1/2'
'x+1/2,-y+1/2,z+1/2'
loop_
_atom_site_label
_atom_site_fract_x
_atom_site_fract_y
_atom_site_fract_z
Sc1 0.000 0.000 0.000
Ag1 0.000 0.000 0.442
Ag2 0.000 0.500 0.217
P1 0.000 0.500 0.727
```

Properties
Volume in A^3/atom: 18.16
Formation energy in kJ/mol of formula units: -95
Total DFT energy (no corrections) in eV per cell: -36.85

Number 1: DOS at the Fermi energy 3.28 states/eV/cell. Number 2: DOS at the Fermi energy 4.41 states/eV/cell. Number 3: DOS at the Fermi energy 5.11 states/eV/cell. Number 4: DOS at the Fermi energy 3.57 states/eV/cell. Number 5: DOS at the Fermi energy 4.96 states/eV/cell. Number 6: DOS at the Fermi energy 6.30 states/eV/cell. Number 7: DOS at the Fermi energy 8.11 states/eV/cell. Number 8: DOS at the Fermi energy 4.78 states/eV/cell. Number 9: DOS at the Fermi energy 2.26 states/eV/cell. Number 10: DOS at the Fermi energy 6.82 states/eV/cell. Number 11: DOS at the Fermi energy 3.16 states/eV/cell. Number 12: DOS at the Fermi energy 1.62 states/eV/cell.